The following is a DFT calculation (GGA-PBE) of NbRuRh after structural relaxation.

a = 3.1760 Å, b = 3.1760 Å, c = 5.2455 Å
α = 107.62°, β = 107.62°, γ = 90.00°
Atoms (fractional coordinates):
Nb1 0.9465 0.9465 0.8930
Ru1 0.2996 0.2996 0.5991
Rh1 0.6039 0.6039 0.2078

Results
DOS(E_F): 1.192 states/eV/atom
Formation energy from the elements: -0.0864 eV per atom
E_tot: -8.99 eV per atom
Density: 10.3 g/cm³
ΔE to the lowest computed polymorph: 0.71 eV per formula unit
Symmetry: I4mm (107)
Size of the total moment: 0.00 μB per atom



The following is a DFT calculation (GGA-PBE) of Sm4AgRh3 after structural relaxation.

a = 3.5933 Å, b = 5.0310 Å, c = 9.8857 Å
α = 90.00°, β = 90.00°, γ = 90.00°
Atoms (fractional coordinates):
Sm1 0.0000 0.5000 0.2622
Sm2 0.0000 0.0000 0.0000
Rh1 0.5000 0.0000 0.2503
Rh2 0.5000 0.5000 0.5000
Ag1 0.5000 0.5000 0.0000
Rh3 0.5000 0.0000 0.7497
Sm3 0.0000 0.0000 0.5000
Sm4 0.0000 0.5000 0.7378

Results
DOS(E_F): 0.448 states/eV/atom
Formation energy from the elements: -0.6119 eV per atom
E_tot: -6.08 eV per atom
Density: 9.5 g/cm³
Symmetry: Pmmm (47)
Size of the total moment: 0.00 μB per atom



The following is a DFT calculation (GGA-PBE) of Ho3Mn2Fe7 after structural relaxation.

a = 5.0437 Å, b = 5.0437 Å, c = 8.5674 Å
α = 72.88°, β = 72.88°, γ = 60.00°
Each line ends with the local moment (μB).
Atoms (fractional coordinates):
Fe1 0.5811 0.0808 0.7570  1.67
Fe2 0.0808 0.5811 0.7570  1.67
Fe3 0.4189 0.4189 0.2430  1.67
Mn1 0.3328 0.3328 0.0017  1.90
Fe4 0.4189 0.9192 0.2430  1.67
Ho1 0.8587 0.8587 0.4238  -0.45
Fe5 0.9192 0.4189 0.2430  1.67
Fe6 0.5811 0.5811 0.7570  1.67
Ho2 0.1413 0.1413 0.5762  -0.45
Fe7 0.5000 0.5000 0.5000  1.96
Mn2 0.6672 0.6672 0.9983  1.90
Ho3 0.0000 0.0000 0.0000  -0.33

Results
DOS(E_F): 1.152 states/eV/atom
Formation energy from the elements: -0.0338 eV per atom
E_tot: -7.64 eV per atom
Density: 9.3 g/cm³
Symmetry: R-3m (166)
Size of the total moment: 1.21 μB per atom



The following is a DFT calculation (GGA-PBE) of Sr2GaAg after structural relaxation.

a = 8.5939 Å, b = 8.5939 Å, c = 7.1514 Å
α = 53.07°, β = 53.07°, γ = 90.00°
Atoms (fractional coordinates):
Ag1 0.0000 0.0000 0.0000
Sr1 0.3750 0.3706 0.7500
Ag2 0.7500 0.2500 0.5000
Ga1 0.5000 0.5000 0.0000
Sr2 0.1206 0.6250 0.2500
Ga2 0.2500 0.7500 0.5000
Sr3 0.8750 0.8794 0.7500
Sr4 0.6294 0.1250 0.2500

Results
DOS(E_F): 1.071 states/eV/atom
Formation energy from the elements: -0.0046 eV per atom
E_tot: -2.32 eV per atom
Density: 4.2 g/cm³
Symmetry: I-42d (122)
Size of the total moment: 0.00 μB per atom



The following is a DFT calculation (GGA-PBE) of Pm6Pb3C after structural relaxation.

a = 6.5624 Å, b = 8.5241 Å, c = 10.7895 Å
α = 90.00°, β = 87.56°, γ = 90.00°
Atoms (fractional coordinates):
Pb1 0.5000 0.5000 0.0000
Pm1 0.3306 0.8535 0.0512
Pm2 0.8701 0.9528 0.2252
Pm3 0.1299 0.0472 0.7748
Pm4 0.1164 0.2781 0.0555
Pb2 0.4105 0.1062 0.2635
Pm5 0.3836 0.7781 0.4445
Pm6 0.6299 0.4528 0.2748
Pb3 0.5895 0.8938 0.7365
Pb4 0.0895 0.6062 0.2365
Pb5 0.9105 0.3938 0.7635
Pm7 0.1694 0.3535 0.4488
Pm8 0.8836 0.7219 0.9445
Pb6 0.0000 0.0000 0.5000
C1 0.5000 0.5000 0.5000
Pm9 0.3701 0.5472 0.7252
Pm10 0.6694 0.1465 0.9488
C2 0.0000 0.0000 0.0000
Pm11 0.6164 0.2219 0.5555
Pm12 0.8306 0.6465 0.5512

Results
DOS(E_F): 0.843 states/eV/atom
Formation energy from the elements: -0.3778 eV per atom
E_tot: -5.26 eV per atom
Density: 8.3 g/cm³
Symmetry: P2_1/c (14)
Size of the total moment: 0.00 μB per atom



The following is a DFT calculation (GGA-PBE) of Te3HS after structural relaxation.

a = 4.7033 Å, b = 4.7033 Å, c = 4.7033 Å
α = 90.00°, β = 90.00°, γ = 90.00°
Atoms (fractional coordinates):
Te1 0.0000 0.5000 0.0000
S1 0.5000 0.5000 0.5000
H1 0.0000 0.0000 0.0000
Te2 0.0000 0.0000 0.5000
Te3 0.5000 0.0000 0.0000

Results
DOS(E_F): 1.025 states/eV/atom
E_tot: -2.64 eV per atom
Density: 6.6 g/cm³
ΔE to the lowest computed polymorph: 0.00 eV per formula unit
Symmetry: Pm-3m (221)
Size of the total moment: 0.00 μB per atom